# GGA+U FeCo2SeO6, relaxed
# - E_tot (eV/atom) = -5.811
data_FeCo2SeO6
_chemical_formula_sum 'Fe3 Co6 Se3 O18'
_cell_length_a 5.0541
_cell_length_b 5.0541
_cell_length_c 14.5345
_cell_angle_alpha 90.00
_cell_angle_beta 90.00
_cell_angle_gamma 120.00
_symmetry_space_group_name_H-M 'R 3'
_symmetry_Int_Tables_number 146
_symmetry_space_group_name_Hall 'R 3'
loop_
_atom_site_label
_atom_site_type_symbol
_atom_site_fract_x
_atom_site_fract_y
_atom_site_fract_z
_atom_site_occupancy
Fe1 Fe 0.0000 0.0000 0.0000 1
Co1 Co 0.0000 0.0000 0.3135 1
Co2 Co 0.0000 0.0000 0.7834 1
Se1 Se 0.0000 0.0000 0.5185 1
O1 O 0.0093 0.3411 0.5712 1
O2 O 0.0356 0.6750 0.0578 1